# 1
Entry from Alexandria: an optimized crystal structure of Dy3Ni7P4 (PBE).

Computed properties:
Space group: C2/m
Formation energy in meV per atom: -900
V in Å³ per cell: 197.8

Lattice parameters (Å, degrees): 7.522 7.522 8.877 124.99 124.99 29.28
Fractional coordinates of all 14 atoms:
Dy 0.000 0.000 0.000
Dy 0.320 0.320 0.324
Dy 0.680 0.680 0.676
Ni 0.000 0.000 0.500
Ni 0.162 0.162 0.418
Ni 0.309 0.309 0.975
Ni 0.493 0.493 0.718
Ni 0.507 0.507 0.282
Ni 0.691 0.691 0.025
Ni 0.838 0.838 0.582
P 0.109 0.109 0.825
P 0.338 0.338 0.727
P 0.662 0.662 0.273
P 0.891 0.891 0.175

---

# 2
Entry from Alexandria: an optimized crystal structure of DyPaNi2P2 (PBE).

Computed properties:
Space group: P-3m1
Formation energy in meV per atom: -1173
V in Å³ per cell: 101.5

Lattice parameters (Å, degrees): 3.893 3.893 7.730 90.00 90.00 120.00
Fractional coordinates of all 6 atoms:
Dy 0.000 0.000 0.000
Pa 0.000 0.000 0.500
Ni 0.333 0.667 0.273
Ni 0.667 0.333 0.727
P 0.333 0.667 0.757
P 0.667 0.333 0.243

---

# 3
Entry from Alexandria: an optimized crystal structure of PmDyNi2P2 (PBE).

Computed properties:
Space group: P-3m1
Formation energy in meV per atom: -1201
V in Å³ per cell: 105.0

Lattice parameters (Å, degrees): 3.916 3.916 7.906 90.00 90.00 120.00
Fractional coordinates of all 6 atoms:
Pm 0.000 0.000 0.000
Dy 0.000 0.000 0.500
Ni 0.333 0.667 0.745
Ni 0.667 0.333 0.255
P 0.333 0.667 0.258
P 0.667 0.333 0.742